# TlNiHg2Cl8 | Alexandria via LeMat-Bulk | PBE-GGA | relaxed
# uncorrected formation energy	-580	meV per atom
# spin magnetization	1.06	μB per cell
# D(E_F)	8.1	states/eV/cell
data_TlNiHg2Cl8
_cell_length_a 6.797
_cell_length_b 7.549
_cell_length_c 8.582
_cell_angle_alpha 82.93
_cell_angle_beta 73.43
_cell_angle_gamma 85.50
_space_group_name_H-M_alt 'P -1'
_space_group_IT_number 2
_space_group_name_Hall '-P 1'
loop_
_atom_site_label
_atom_site_fract_x
_atom_site_fract_y
_atom_site_fract_z
Tl1 0.000 0.000 0.000
Ni1 0.000 0.000 0.500
Hg1 0.480 0.537 0.273
Cl1 0.162 0.844 0.656
Cl2 0.227 0.907 0.286
Cl3 0.268 0.376 0.500
Cl4 0.305 0.339 0.974

---

# BePdSe | Alexandria via LeMat-Bulk | PBE-GGA | relaxed
# uncorrected formation energy	-226	meV per atom
# spin magnetization	0.00	μB per cell
# D(E_F)	2.4	states/eV/cell
data_BePdSe
_cell_length_a 8.817
_cell_length_b 3.615
_cell_length_c 6.289
_cell_angle_alpha 90.00
_cell_angle_beta 90.00
_cell_angle_gamma 90.00
_space_group_name_H-M_alt 'A m m 2'
_space_group_IT_number 38
_space_group_name_Hall 'A 2 -2'
loop_
_atom_site_label
_atom_site_fract_x
_atom_site_fract_y
_atom_site_fract_z
Be1 0.190 0.000 0.000
Pd1 0.000 0.000 0.722
Pd2 0.500 0.000 0.913
Se1 0.278 0.000 0.658

---

# LiSbH2 | Alexandria via LeMat-Bulk | PBE-GGA | relaxed
# spin magnetization	0.00	μB per cell
# D(E_F)	1.3	states/eV/cell
# raw total energy	-3.1330	eV/atom
data_LiSbH2
_cell_length_a 3.2342
_cell_length_b 3.2342
_cell_length_c 18.2449
_cell_angle_alpha 90.00
_cell_angle_beta 90.00
_cell_angle_gamma 120.00
_space_group_name_H-M_alt 'R -3 m'
_space_group_IT_number 166
_space_group_name_Hall '-R 3 2"'
loop_
_atom_site_label
_atom_site_fract_x
_atom_site_fract_y
_atom_site_fract_z
Li1 0.0000 0.0000 0.0000
Sb1 0.0000 0.0000 0.5000
H1 0.0000 0.0000 0.3849